Pm2O2F5 | GGA-PBE | optimized geometry

abc: 7.9501 7.9501 4.4167
angles: 103.16 103.16 30.98
Last column: nearest neighbours and their distance in Å.
Atoms (fractional coordinates):
Pm: 0.1345 0.1345 0.3683  6 F 2.25-2.50
Pm: 0.8655 0.8655 0.6317  6 F 2.25-2.50
O: 0.4586 0.4586 0.9073  1 O 1.34
O: 0.5414 0.5414 0.0927  1 O 1.34
F: 0.0000 0.0000 0.5000  2 Pm 2.27
F: 0.1681 0.1681 0.8999  2 Pm 2.25-2.28
F: 0.3024 0.3024 0.5282  3 Pm 2.33-2.50, 1 O 2.58
F: 0.6976 0.6976 0.4718  3 Pm 2.33-2.50, 1 O 2.58
F: 0.8319 0.8319 0.1001  2 Pm 2.25-2.28

Properties
* mass density: 4.96 g cm⁻³
* space-group type: C2/m (12)
* raw formation energy: -3.268 eV per atom
* energy: -6.465 eV/atom